[1]
# LiTl3Fe2Cl8

An optimized crystal structure of LiTl3Fe2Cl8 (PBE, Alexandria).

extended XYZ file:
```
14
Lattice="-2.907 5.653 -3.290 -3.994 -4.064 4.331 2.245 5.197 6.946" Properties=species:S:1:pos:R:3 pbc="T T T"
Li 1.122 2.598 3.473
Tl -2.218 2.447 6.165
Tl -2.438 4.338 1.822
Tl 0.000 0.000 0.000
Fe -3.145 0.301 3.297
Fe -1.511 6.484 4.690
Cl -1.463 4.196 8.502
Cl -3.193 2.589 -0.515
Cl -3.103 -0.831 5.299
Cl -1.553 7.616 2.688
Cl -1.059 1.249 3.082
Cl -3.597 5.536 4.905
Cl -4.591 2.062 3.615
Cl -0.065 4.723 4.372
```

Summary:
* crystal system: trigonal
* formation energy (no corrections): -971 meV per atom
* calculated density: 4.24 Mg/m³
* total magnetization: 8.0 μB per formula unit
* space group: P-3m1 (164)

=====

[2]
# Cs8HAu2

An optimized crystal structure of Cs8HAu2 (PBE, Alexandria).

extended XYZ file:
```
11
Lattice="9.219 0.760 0.632 1.019 9.544 -0.696 1.019 1.060 9.511" Properties=species:S:1:pos:R:3 pbc="T T T"
Cs 7.999 2.564 7.795
Cs 3.259 3.232 8.350
Cs 7.851 2.990 2.485
Cs 3.406 8.375 6.961
Cs 7.999 8.132 1.096
Cs 3.259 8.801 1.651
Cs 3.377 4.060 3.375
Cs 7.881 7.305 6.072
H 0.000 0.000 0.000
Au 4.834 1.492 1.240
Au 6.423 9.873 8.206
```

Summary:
* E above lowest polymorph: 17 meV per atom
* crystal system: monoclinic
* calculated density: 2.92 Mg/m³
* total magnetization: 0.0 μB per formula unit
* space group: C2/m (12)

=====

[3]
# CrSbBr2

An optimized crystal structure of CrSbBr2 (PBE, Alexandria).

extended XYZ file:
```
4
Lattice="-2.135 3.342 3.306 -1.546 -1.606 4.657 2.585 1.460 4.224" Properties=species:S:1:pos:R:3 pbc="T T T"
Br 0.000 0.000 0.000
Br -0.274 0.799 3.047
Cr -0.548 1.599 6.093
Sb -0.822 2.398 9.140
```

Summary:
* E above lowest polymorph: 644 meV per atom
* crystal system: cubic
* formation energy (no corrections): 467 meV per atom
* calculated density: 5.69 Mg/m³
* total magnetization: 3.7 μB per formula unit
* space group: F-43m (216)

=====

[4]
# AlTl3I

An optimized crystal structure of AlTl3I (PBE, Alexandria).

extended XYZ file:
```
5
Lattice="5.577 0.000 0.000 0.000 5.577 0.000 0.000 0.000 5.577" Properties=species:S:1:pos:R:3 pbc="T T T"
I 2.789 2.789 2.789
Tl 0.000 2.789 0.000
Tl 0.000 0.000 2.789
Tl 2.789 0.000 0.000
Al 0.000 0.000 0.000
```

Summary:
* E above lowest polymorph: 0 meV per atom
* crystal system: cubic
* formation energy (no corrections): 7 meV per atom
* calculated density: 7.34 Mg/m³
* total magnetization: 0.0 μB per formula unit
* space group: Pm-3m (221)

=====

[5]
# KAl2Rh

An optimized crystal structure of KAl2Rh (PBE, Alexandria).

extended XYZ file:
```
4
Lattice="5.040 0.000 0.000 0.000 5.040 0.000 0.000 0.000 2.967" Properties=species:S:1:pos:R:3 pbc="T T T"
K 2.520 0.000 1.483
Rh 0.000 2.520 1.483
Al 0.000 0.000 0.000
Al 2.520 2.520 0.000
```

Summary:
* E above lowest polymorph: 829 meV per atom
* crystal system: tetragonal
* ΔH_f (0 K): 0.4924 eV per atom
* calculated density: 4.32 Mg/m³
* total magnetization: 0.0 μB per formula unit
* space group: P4/mmm (123)

=====

[6]
# Ac2PaPdO6

An optimized crystal structure of Ac2PaPdO6 (PBE, Alexandria).

extended XYZ file:
```
10
Lattice="5.830 0.000 0.000 0.000 5.525 0.000 0.000 0.000 5.525" Properties=species:S:1:pos:R:3 pbc="T T T"
Ac 0.069 2.763 0.000
Ac 0.069 0.000 2.763
Pa 3.411 2.763 2.763
Pd 2.823 0.000 0.000
O 4.385 1.436 1.436
O 4.385 1.436 4.089
O 1.185 2.763 2.763
O 0.829 0.000 0.000
O 4.385 4.089 4.089
O 4.385 4.089 1.436
```

Summary:
* crystal system: tetragonal
* formation energy (no corrections): -2637 meV per atom
* calculated density: 8.28 Mg/m³
* total magnetization: 1.0 μB per formula unit
* space group: P4mm (99)

=====

[7]
# ZrScP2

An optimized crystal structure of ZrScP2 (PBE, Alexandria).

extended XYZ file:
```
4
Lattice="-2.936 0.323 -1.790 0.748 -2.702 -1.714 -2.645 -4.853 3.462" Properties=species:S:1:pos:R:3 pbc="T T T"
P -2.585 -4.933 3.349
P -1.009 -3.698 0.987
Sc -1.943 -1.727 -0.458
Zr -2.891 -5.505 0.416
```

Summary:
* E above lowest polymorph: 429 meV per atom
* crystal system: monoclinic
* ΔH_f (0 K): -1.0064 eV per atom
* calculated density: 4.58 Mg/m³
* total magnetization: 0.0 μB per formula unit
* space group: P2/m (10)

=====

[8]
# RbSr2Sn2

An optimized crystal structure of RbSr2Sn2 (PBE, Alexandria).

extended XYZ file:
```
10
Lattice="9.314 0.000 0.000 0.000 9.314 0.000 0.000 0.000 4.537" Properties=species:S:1:pos:R:3 pbc="T T T"
Sr 1.576 6.233 2.269
Sr 6.233 7.738 2.269
Sr 7.738 3.081 2.269
Sr 3.081 1.576 2.269
Sn 3.580 8.237 0.000
Sn 8.237 5.734 0.000
Sn 5.734 1.077 0.000
Sn 1.077 3.580 0.000
Rb 0.000 0.000 0.000
Rb 4.657 4.657 0.000
```

Summary:
* E above lowest polymorph: 30 meV per atom
* crystal system: tetragonal
* ΔH_f (0 K): -0.3937 eV per atom
* calculated density: 4.20 Mg/m³
* total magnetization: 0.0 μB per formula unit
* space group: P4/mbm (127)

=====

Among the records above, which one has the highest total magnetization? LiTl3Fe2Cl8